Record 1
This record from OQMD describes NaFeNi after structural relaxation. The functional is PBE.

Cell lengths 5.9088, 5.9088, 5.9088 Å; angles 90.00, 90.00, 90.00 degrees
Fractional positions:
Na (0.0000, 0.0000, 0.0000)
Na (0.0000, 0.5000, 0.5000)
Na (0.5000, 0.0000, 0.5000)
Na (0.5000, 0.5000, 0.0000)
Fe (0.0000, 0.0000, 0.5000)
Fe (0.0000, 0.5000, 0.0000)
Fe (0.5000, 0.0000, 0.0000)
Fe (0.5000, 0.5000, 0.5000)
Ni (0.2500, 0.2500, 0.7500)
Ni (0.2500, 0.7500, 0.2500)
Ni (0.7500, 0.2500, 0.2500)
Ni (0.7500, 0.7500, 0.7500)

Output
symmetry = F-43m

=====

Record 2
This record from OQMD describes Hf4CdCoC2 after structural relaxation. The functional is PBE.

Cell lengths 3.2491, 3.2491, 14.1255 Å; angles 90.00, 90.00, 120.00 degrees
Fractional positions:
Hf (0.0000, 0.0000, 0.1353)
Hf (0.0000, 0.0000, 0.8647)
Hf (0.3333, 0.6667, 0.3197)
Hf (0.3333, 0.6667, 0.6803)
Cd (0.0000, 0.0000, 0.5000)
Co (0.3333, 0.6667, 0.0000)
C (0.6667, 0.3333, 0.2338)
C (0.6667, 0.3333, 0.7662)

Output
symmetry = P-6m2

=====

Record 3
This record from OQMD describes Ta2Sb3Mo4C3 after structural relaxation. The functional is PBE.

Cell lengths 5.6893, 5.6893, 13.5133 Å; angles 102.54, 102.54, 59.96 degrees
Fractional positions:
Ta (0.0281, 0.8560, 0.5856)
Ta (0.1440, 0.9719, 0.9144)
Ta (0.8560, 0.0281, 0.0856)
Ta (0.9719, 0.1440, 0.4144)
Sb (0.0831, 0.2628, 0.7501)
Sb (0.2628, 0.0831, 0.2501)
Sb (0.4298, 0.5702, 0.7500)
Sb (0.5702, 0.4298, 0.2500)
Sb (0.7372, 0.9169, 0.7499)
Sb (0.9169, 0.7372, 0.2499)
Mo (0.1940, 0.3727, 0.0825)
Mo (0.3132, 0.4610, 0.4181)
Mo (0.3727, 0.1940, 0.5825)
Mo (0.4610, 0.3132, 0.9181)
Mo (0.5390, 0.6868, 0.0819)
Mo (0.6273, 0.8060, 0.4175)
Mo (0.6868, 0.5390, 0.5819)
Mo (0.8060, 0.6273, 0.9175)
C (0.0000, 0.5000, 0.5000)
C (0.1630, 0.6746, 0.9997)
C (0.3254, 0.8370, 0.5003)
C (0.5000, 0.0000, 0.0000)
C (0.6746, 0.1630, 0.4997)
C (0.8370, 0.3254, 0.0003)

Output
symmetry = C2/c

=====

Number 1: theoretical density 4.4 g cm⁻³, final energy -4.168 eV per atom, magnetic moment 1.23 μB/atom. Number 2: theoretical density 11.7 g cm⁻³, final energy -8.781 eV per atom, magnetic moment 0.05 μB/atom. Number 3: theoretical density 10.4 g cm⁻³, final energy -8.979 eV per atom, magnetic moment 0.00 μB/atom.